4
Lattice="1.528 0.882 8.081 -1.528 0.882 8.081 0.000 -1.765 8.081" Properties=species:S:1:pos:R:3 comment="TaRu2Se (PBE, relaxed)" energy_ev_per_atom=-8.42 space_group="No. 166" pbc="T T T"
Ta 0.000 0.000 0.000
Ru 0.000 0.000 6.095
Ru 0.000 0.000 18.148
Se 0.000 0.000 12.122


4
Lattice="4.472 0.000 0.000 0.000 4.472 0.000 0.000 0.000 3.152" Properties=species:S:1:pos:R:3 comment="TaRu2Se (PBE, relaxed)" energy_ev_per_atom=-8.37 space_group="No. 123" pbc="T T T"
Ta 0.000 0.000 0.000
Ru 0.000 2.236 1.576
Ru 2.236 0.000 1.576
Se 2.236 2.236 0.000


5
Lattice="5.005 0.000 0.000 0.000 5.005 0.000 0.000 0.000 5.005" Properties=species:S:1:pos:R:3 comment="TaRuSe3 (PBE, relaxed)" energy_ev_per_atom=-5.67 space_group="No. 221" pbc="T T T"
Ta 0.000 0.000 0.000
Ru 2.503 2.503 2.503
Se 0.000 0.000 2.503
Se 0.000 2.503 0.000
Se 2.503 0.000 0.000


Number 1: formation energy without anion corrections 0.05 eV/atom. Number 2: formation energy without anion corrections 0.10 eV/atom. Number 3: formation energy without anion corrections 0.64 eV/atom.